Density functional theory data (PBE) for an optimized crystal structure of MnFe4Ru.

```
MnFe4Ru
1.0
0.000 3.307 3.307
3.307 0.000 3.307
3.307 3.307 0.000
Mn Fe Ru
1 4 1
Direct
0.000 0.000 0.000 Mn
0.375 0.375 0.375 Fe
0.375 0.375 0.875 Fe
0.375 0.875 0.375 Fe
0.875 0.375 0.375 Fe
0.750 0.750 0.750 Ru
```

Results
Formation energy from the elements (eV per atom): 0.08

=====

Density functional theory data (PBE) for an optimized crystal structure of Dy3ErGa4.

```
Dy3ErGa4
1.0
-1.793 3.355 8.273
1.793 -3.355 8.273
1.793 3.355 -8.273
Dy Er Ga
3 1 4
Direct
0.000 0.000 0.000 Dy
0.297 0.797 0.500 Dy
0.703 0.203 0.500 Dy
0.500 0.500 0.000 Er
0.064 0.371 0.694 Ga
0.323 0.629 0.694 Ga
0.677 0.371 0.306 Ga
0.936 0.629 0.306 Ga
```

Results
Formation energy from the elements (eV per atom): -0.46
Relative energy among the computed polymorphs (meV/atom): 116

=====

Density functional theory data (PBE) for an optimized crystal structure of InSN2F.

```
InSN2F
1.0
3.513 0.000 0.000
0.000 3.513 0.000
0.000 0.000 5.466
In S N F
1 1 2 1
Direct
0.000 0.000 0.000 In
0.500 0.500 0.500 S
0.000 0.500 0.500 N
0.500 0.000 0.500 N
0.500 0.500 0.000 F
```

Results
Uncorrected formation energy (eV/atom): 0.691
Relative energy among the computed polymorphs (meV/atom): 0

=====

We obtain mass density values of 8.71 7.79 4.77 g cm⁻³ for the records listed above, in that order.
We obtain D(E_F) values of 3.8 4.4 2.7 states/eV/f.u. for the records listed above, in that order.